Entry 1:
Entry from Alexandria: Be2OsPb after structural relaxation (PBE).

Properties
DFT formation energy	0.6135	eV per atom

a = 4.676 Å, b = 4.676 Å, c = 4.676 Å
α = 131.25°, β = 131.21°, γ = 71.45°
Fractional coordinates of all 4 atoms:
Be 0.000 0.000 0.000
Be 0.500 0.500 0.000
Pb 0.250 0.750 0.500
Os 0.750 0.250 0.500


Entry 2:
Entry from Alexandria: BeOsPb3 after structural relaxation (PBE).

Properties
distance to the lowest polymorph of the same formula	134	kJ/mol of formula units
DFT formation energy	1.2592	eV per atom

a = 4.934 Å, b = 4.934 Å, c = 4.934 Å
α = 90.00°, β = 90.00°, γ = 90.00°
Each line ends with the local moment (μB).
Fractional coordinates of all 5 atoms:
Os 0.500 0.500 0.500  1.54
Be 0.000 0.000 0.000  0.00
Pb 0.000 0.000 0.500  -0.02
Pb 0.500 0.000 0.000  -0.01
Pb 0.000 0.500 0.000  -0.03


Entry 3:
Entry from Alexandria: BeOsPb2 after structural relaxation (PBE).

Properties
DFT formation energy	1.1391	eV per atom

a = 4.859 Å, b = 4.859 Å, c = 4.859 Å
α = 60.00°, β = 60.00°, γ = 60.00°
Fractional coordinates of all 4 atoms:
Os 0.750 0.750 0.750
Pb 0.250 0.250 0.250
Be 0.500 0.500 0.500
Pb 0.000 0.000 0.000


Entry 4:
Entry from Alexandria: Be2OsPb after structural relaxation (PBE).

Properties
DFT formation energy	0.6625	eV per atom

a = 4.119 Å, b = 4.119 Å, c = 8.591 Å
α = 76.13°, β = 76.13°, γ = 90.00°
Fractional coordinates of all 8 atoms:
Pb 0.000 0.000 0.000
Be 0.875 0.625 0.750
Be 0.375 0.625 0.750
Os 0.250 0.750 0.500
Pb 0.750 0.250 0.500
Be 0.375 0.625 0.250
Os 0.500 0.500 0.000
Be 0.375 0.125 0.250


Entry 5:
Entry from Alexandria: Be2OsPb after structural relaxation (PBE).

Properties
DFT formation energy	0.4113	eV per atom

a = 4.345 Å, b = 4.345 Å, c = 4.688 Å
α = 77.77°, β = 77.77°, γ = 46.72°
Fractional coordinates of all 4 atoms:
Be 0.041 0.041 0.832
Pb 0.250 0.250 0.250
Os 0.750 0.750 0.750
Be 0.459 0.459 0.668


Entry 6:
Entry from Alexandria: Be2OsPd after structural relaxation (PBE).

Properties
DFT formation energy	0.2329	eV per atom

a = 5.986 Å, b = 5.986 Å, c = 5.029 Å
α = 53.48°, β = 53.48°, γ = 90.00°
Fractional coordinates of all 8 atoms:
Be 0.621 0.125 0.250
Os 0.000 0.000 0.000
Pd 0.250 0.750 0.500
Os 0.750 0.250 0.500
Be 0.129 0.625 0.250
Be 0.375 0.379 0.750
Pd 0.500 0.500 0.000
Be 0.875 0.871 0.750


Entry 7:
Entry from Alexandria: Be2Os2Pd after structural relaxation (PBE).

Properties
DFT formation energy	-0.0288	eV per atom

a = 5.677 Å, b = 5.677 Å, c = 3.618 Å
α = 90.00°, β = 90.00°, γ = 90.00°
Fractional coordinates of all 10 atoms:
Be 0.375 0.875 0.000
Os 0.675 0.825 0.500
Be 0.625 0.125 0.000
Pd 0.500 0.500 0.000
Os 0.325 0.175 0.500
Os 0.825 0.325 0.500
Pd 0.000 0.000 0.000
Os 0.175 0.675 0.500
Be 0.875 0.625 0.000
Be 0.125 0.375 0.000


Entry 8:
Entry from Alexandria: Be2OsPd after structural relaxation (PBE).

Properties
DFT formation energy	-0.3150	eV per atom

a = 2.807 Å, b = 2.807 Å, c = 5.693 Å
α = 90.00°, β = 90.00°, γ = 90.00°
Fractional coordinates of all 4 atoms:
Be 0.000 0.000 0.260
Be 0.000 0.000 0.740
Os 0.500 0.500 0.500
Pd 0.500 0.500 0.000